1.
This record from the Alexandria database describes a relaxed structure of LiCd4Ni. The functional is PBE-GGA.

Mass density ... 6.75 g/cm3
Energy above the lowest structure with this stoichiometry ... 148.8 meV/atom

```
data_LiCd4Ni
_chemical_formula_sum 'Li2 Cd8 Ni2'
_cell_length_a 6.3548
_cell_length_b 6.3541
_cell_length_c 6.2788
_cell_angle_alpha 90.00
_cell_angle_beta 90.11
_cell_angle_gamma 90.00
_space_group_name_H-M_alt 'C 1 2/m 1'
_space_group_IT_number 12
_space_group_name_Hall '-C 2y'
loop_
_atom_site_label
_atom_site_type_symbol
_atom_site_fract_x
_atom_site_fract_y
_atom_site_fract_z
Li1 Li 0.0000 0.0000 0.0000
Cd1 Cd 0.2500 0.2503 0.2608
Ni1 Ni 0.0000 0.5000 0.5000
```

2.
This record from the Alexandria database describes a relaxed structure of Ho6Al2In. The functional is PBE-GGA.

Mass density ... 7.71 g/cm3
Energy above the lowest structure with this stoichiometry ... 0.0 meV/atom

```
data_Ho6Al2In
_chemical_formula_sum 'Ho24 Al8 In4'
_cell_length_a 9.6156
_cell_length_b 9.7735
_cell_length_c 10.6138
_cell_angle_alpha 90.00
_cell_angle_beta 90.00
_cell_angle_gamma 90.00
_space_group_name_H-M_alt 'I m m m'
_space_group_IT_number 71
_space_group_name_Hall '-I 2 2'
loop_
_atom_site_label
_atom_site_type_symbol
_atom_site_fract_x
_atom_site_fract_y
_atom_site_fract_z
Ho1 Ho 0.0000 0.2088 0.1794
Ho2 Ho 0.1848 0.2249 0.5000
Ho3 Ho 0.2023 0.5000 0.2567
Al1 Al 0.0000 0.0000 0.3783
Al2 Al 0.1429 0.0000 0.0000
In1 In 0.0000 0.5000 0.0000
In2 In 0.0000 0.5000 0.5000
```

3.
This record from the Alexandria database describes a relaxed structure of K2CePaO6. The functional is PBE-GGA.

Mass density ... 5.32 g/cm3
ΔE_f (raw) ... -2765 meV per atom

```
data_K2CePaO6
_chemical_formula_sum 'K8 Ce4 Pa4 O24'
_cell_length_a 8.7947
_cell_length_b 8.7947
_cell_length_c 8.7947
_cell_angle_alpha 90.00
_cell_angle_beta 90.00
_cell_angle_gamma 90.00
_space_group_name_H-M_alt 'F m -3 m'
_space_group_IT_number 225
_space_group_name_Hall '-F 4 2 3'
loop_
_atom_site_label
_atom_site_type_symbol
_atom_site_fract_x
_atom_site_fract_y
_atom_site_fract_z
K1 K 0.2500 0.2500 0.2500
Ce1 Ce 0.0000 0.0000 0.0000
Pa1 Pa 0.0000 0.0000 0.5000
O1 O 0.0000 0.0000 0.2547
```

4.
This record from the Alexandria database describes a relaxed structure of Fe2MoBr. The functional is PBE-GGA.

Mass density ... 8.14 g/cm3
ΔE_f (raw) ... 823 meV per atom
Energy above the lowest structure with this stoichiometry ... 398.5 meV/atom

```
data_Fe2MoBr
_chemical_formula_sum 'Fe2 Mo1 Br1'
_cell_length_a 2.9452
_cell_length_b 4.4345
_cell_length_c 4.4893
_cell_angle_alpha 90.00
_cell_angle_beta 90.00
_cell_angle_gamma 90.00
_space_group_name_H-M_alt 'P m m m'
_space_group_IT_number 47
_space_group_name_Hall '-P 2 2'
loop_
_atom_site_label
_atom_site_type_symbol
_atom_site_fract_x
_atom_site_fract_y
_atom_site_fract_z
Fe1 Fe 0.0000 0.0000 0.0000
Fe2 Fe 0.5000 0.5000 0.0000
Mo1 Mo 0.0000 0.5000 0.5000
Br1 Br 0.5000 0.0000 0.5000
```

5.
This record from the Alexandria database describes a relaxed structure of LaCe3Nd2N6. The functional is PBE-GGA.

Mass density ... 7.69 g/cm3
ΔE_f (raw) ... -1444 meV per atom

```
data_LaCe3Nd2N6
_chemical_formula_sum 'La2 Ce6 Nd4 N12'
_cell_length_a 15.7876
_cell_length_b 3.6174
_cell_length_c 7.2414
_cell_angle_alpha 90.00
_cell_angle_beta 103.35
_cell_angle_gamma 90.00
_space_group_name_H-M_alt 'C 1 2/m 1'
_space_group_IT_number 12
_space_group_name_Hall '-C 2y'
loop_
_atom_site_label
_atom_site_type_symbol
_atom_site_fract_x
_atom_site_fract_y
_atom_site_fract_z
La1 La 0.0000 0.0000 0.0000
Ce1 Ce 0.0000 0.0000 0.5000
Ce2 Ce 0.1675 0.5000 0.8324
Nd1 Nd 0.1675 0.5000 0.3349
N1 N 0.0040 0.5000 0.7355
N2 N 0.1636 0.0000 0.5923
N3 N 0.1722 0.0000 0.0748
```

6.
This record from the Alexandria database describes a relaxed structure of LaCe2Tl2Ag2. The functional is PBE-GGA.

Mass density ... 9.37 g/cm3
E ... -4.087 eV per atom

```
data_LaCe2Tl2Ag2
_chemical_formula_sum 'La3 Ce6 Tl6 Ag6'
_cell_length_a 4.8432
_cell_length_b 4.8432
_cell_length_c 27.3211
_cell_angle_alpha 90.00
_cell_angle_beta 90.00
_cell_angle_gamma 120.00
_space_group_name_H-M_alt 'R -3 m'
_space_group_IT_number 166
_space_group_name_Hall '-R 3 2"'
loop_
_atom_site_label
_atom_site_type_symbol
_atom_site_fract_x
_atom_site_fract_y
_atom_site_fract_z
La1 La 0.0000 0.0000 0.0000
Ce1 Ce 0.0000 0.0000 0.1441
Tl1 Tl 0.0000 0.0000 0.2659
Ag1 Ag 0.0000 0.0000 0.4340
```

7.
This record from the Alexandria database describes a relaxed structure of Sc3AlPt2. The functional is PBE-GGA.

Mass density ... 8.00 g/cm3
E ... -6.831 eV per atom

```
data_Sc3AlPt2
_chemical_formula_sum 'Sc6 Al2 Pt4'
_cell_length_a 15.2010
_cell_length_b 3.5953
_cell_length_c 4.3781
_cell_angle_alpha 90.00
_cell_angle_beta 106.68
_cell_angle_gamma 90.00
_space_group_name_H-M_alt 'C 1 2/m 1'
_space_group_IT_number 12
_space_group_name_Hall '-C 2y'
loop_
_atom_site_label
_atom_site_type_symbol
_atom_site_fract_x
_atom_site_fract_y
_atom_site_fract_z
Sc1 Sc 0.0000 0.0000 0.0000
Sc2 Sc 0.1763 0.0000 0.6762
Al1 Al 0.0000 0.5000 0.5000
Pt1 Pt 0.1371 0.5000 0.1373
```

8.
This record from the Alexandria database describes a relaxed structure of Li4HN. The functional is PBE-GGA.

Mass density ... 1.21 g/cm3
Energy above the lowest structure with this stoichiometry ... 0.0 meV/atom

```
data_Li4HN
_chemical_formula_sum 'Li16 H4 N4'
_cell_length_a 4.8562
_cell_length_b 4.8562
_cell_length_c 9.9435
_cell_angle_alpha 90.00
_cell_angle_beta 90.00
_cell_angle_gamma 90.00
_space_group_name_H-M_alt 'I 41/a'
_space_group_IT_number 88
loop_
_space_group_symop_operation_xyz
'x,y,z'
'-x,-y,-z'
'-y+3/4,x+1/4,z+1/4'
'y+3/4,-x+1/4,-z+1/4'
'-x+1/2,-y,z+1/2'
'x+1/2,y,-z+1/2'
'y+3/4,-x+3/4,z+3/4'
'-y+3/4,x+3/4,-z+3/4'
'x+1/2,y+1/2,z+1/2'
'-x+1/2,-y+1/2,-z+1/2'
'-y+1/4,x+3/4,z+3/4'
'y+1/4,-x+3/4,-z+3/4'
'-x,-y+1/2,z'
'x,y+1/2,-z'
'y+1/4,-x+1/4,z+1/4'
'-y+1/4,x+1/4,-z+1/4'
loop_
_atom_site_label
_atom_site_type_symbol
_atom_site_fract_x
_atom_site_fract_y
_atom_site_fract_z
Li1 Li 0.1885 0.0428 0.2842
H1 H 0.0000 0.2500 0.6250
N1 N 0.0000 0.2500 0.1250
```

9.
This record from the Alexandria database describes a relaxed structure of NpHPb2O6. The functional is PBE-GGA.

Mass density ... 7.48 g/cm3
E ... -6.986 eV per atom

```
data_NpHPb2O6
_chemical_formula_sum 'Np2 H2 Pb4 O12'
_cell_length_a 6.2818
_cell_length_b 4.5600
_cell_length_c 13.1510
_cell_angle_alpha 90.00
_cell_angle_beta 118.05
_cell_angle_gamma 90.00
_space_group_name_H-M_alt 'P 1 21/c 1'
_space_group_IT_number 14
_space_group_name_Hall '-P 2ybc'
loop_
_atom_site_label
_atom_site_type_symbol
_atom_site_fract_x
_atom_site_fract_y
_atom_site_fract_z
Np1 Np 0.0000 0.0000 0.0000
H1 H 0.5000 0.0000 0.5000
Pb1 Pb 0.3475 0.0046 0.8456
O1 O 0.0287 0.7177 0.3841
O2 O 0.2560 0.7101 0.6203
O3 O 0.3792 0.2213 0.5017
```

10.
This record from the Alexandria database describes a relaxed structure of Be2CdAs. The functional is PBE-GGA.

Mass density ... 5.61 g/cm3
Energy above the lowest structure with this stoichiometry ... 360.1 meV/atom

```
data_Be2CdAs
_chemical_formula_sum 'Be2 Cd1 As1'
_cell_length_a 3.4601
_cell_length_b 3.6730
_cell_length_c 4.7818
_cell_angle_alpha 90.00
_cell_angle_beta 90.00
_cell_angle_gamma 90.00
_space_group_name_H-M_alt 'P m m m'
_space_group_IT_number 47
_space_group_name_Hall '-P 2 2'
loop_
_atom_site_label
_atom_site_type_symbol
_atom_site_fract_x
_atom_site_fract_y
_atom_site_fract_z
Be1 Be 0.0000 0.0000 0.0000
Be2 Be 0.0000 0.5000 0.5000
Cd1 Cd 0.5000 0.0000 0.5000
As1 As 0.5000 0.5000 0.0000
```

11.
This record from the Alexandria database describes a relaxed structure of MgRh. The functional is PBE-GGA.

Mass density ... 6.11 g/cm3
E ... -4.691 eV per atom

```
data_MgRh
_chemical_formula_sum 'Mg4 Rh4'
_cell_length_a 4.4106
_cell_length_b 4.4106
_cell_length_c 8.2095
_cell_angle_alpha 90.00
_cell_angle_beta 90.00
_cell_angle_gamma 120.00
_space_group_name_H-M_alt 'P 63/m m c'
_space_group_IT_number 194
_space_group_name_Hall '-P 6c 2c'
loop_
_atom_site_label
_atom_site_type_symbol
_atom_site_fract_x
_atom_site_fract_y
_atom_site_fract_z
Mg1 Mg 0.3333 0.6667 0.0830
Rh1 Rh 0.0000 0.0000 0.2500
Rh2 Rh 0.3333 0.6667 0.7500
```

12.
This record from the Alexandria database describes a relaxed structure of DyYCdPb. The functional is PBE-GGA.

Mass density ... 8.78 g/cm3
E ... -4.318 eV per atom

```
data_DyYCdPb
_chemical_formula_sum 'Dy4 Y4 Cd4 Pb4'
_cell_length_a 7.5587
_cell_length_b 7.5587
_cell_length_c 7.5587
_cell_angle_alpha 90.00
_cell_angle_beta 90.00
_cell_angle_gamma 90.00
_space_group_name_H-M_alt 'F -4 3 m'
_space_group_IT_number 216
_space_group_name_Hall 'F -4 2 3'
loop_
_atom_site_label
_atom_site_type_symbol
_atom_site_fract_x
_atom_site_fract_y
_atom_site_fract_z
Dy1 Dy 0.0000 0.0000 0.0000
Y1 Y 0.0000 0.0000 0.5000
Cd1 Cd 0.2500 0.2500 0.2500
Pb1 Pb 0.2500 0.2500 0.7500
```

We obtain total moment values of 0.00 0.00 0.00 4.16 0.00 1.13 0.00 0.00 0.00 0.00 0.15 0.00 μB/f.u. for the records listed above, in that order.